[1]
Compound: Tb2PmBi
Source: Alexandria via LeMat-Bulk
Functional: PBE
Structure: relaxed

Cell and atoms, written as CIF:
```
data_Tb2PmBi
_chemical_formula_sum 'Tb4 Pm2 Bi2'
_cell_length_a 4.679
_cell_length_b 4.639
_cell_length_c 11.861
_cell_angle_alpha 90.00
_cell_angle_beta 101.39
_cell_angle_gamma 90.00
_space_group_name_H-M_alt 'P 1 21/m 1'
_space_group_IT_number 11
_space_group_name_Hall '-P 2yb'
loop_
_atom_site_label
_atom_site_fract_x
_atom_site_fract_y
_atom_site_fract_z
Tb1 0.058 0.250 0.117
Tb2 0.440 0.250 0.880
Pm1 0.306 0.750 0.613
Bi1 0.166 0.750 0.332
```

**Energy of formation**: -0.455 eV per atom
**Relative energy among the computed polymorphs**: 0.0 meV per atom

***

[2]
Compound: Li2FeCu
Source: Alexandria via LeMat-Bulk
Functional: PBE
Structure: relaxed

Cell and atoms, written as CIF:
```
data_Li2FeCu
_chemical_formula_sum 'Li4 Fe2 Cu2'
_cell_length_a 2.741
_cell_length_b 4.116
_cell_length_c 8.845
_cell_angle_alpha 90.00
_cell_angle_beta 90.00
_cell_angle_gamma 90.00
_space_group_name_H-M_alt 'C m m m'
_space_group_IT_number 65
_space_group_name_Hall '-C 2 2'
loop_
_atom_site_label
_atom_site_fract_x
_atom_site_fract_y
_atom_site_fract_z
Li1 0.000 0.000 0.250
Fe1 0.000 0.500 0.000
Cu1 0.000 0.500 0.500
```

**Energy of formation**: 0.128 eV per atom

***

[3]
Compound: CrPdRh
Source: Alexandria via LeMat-Bulk
Functional: PBE
Structure: relaxed

Cell and atoms, written as CIF:
```
data_CrPdRh
_chemical_formula_sum 'Cr1 Pd1 Rh1'
_cell_length_a 4.2612
_cell_length_b 4.2612
_cell_length_c 2.6419
_cell_angle_alpha 90.00
_cell_angle_beta 90.00
_cell_angle_gamma 120.00
_space_group_name_H-M_alt 'P -6 m 2'
_space_group_IT_number 187
_space_group_name_Hall 'P -6 2'
loop_
_atom_site_label
_atom_site_fract_x
_atom_site_fract_y
_atom_site_fract_z
Cr1 0.0000 0.0000 0.0000
Pd1 0.3333 0.6667 0.0000
Rh1 0.6667 0.3333 0.5000
```

**Energy of formation**: 0.133 eV per atom
**Relative energy among the computed polymorphs**: 171.5 meV per atom